VASP calculation (GGA-PBE) on a relaxed Ho2ScTl crystal.

Cell and atoms, written as POSCAR:
```
Ho2ScTl
1.0
-1.111 0.276 -3.266
1.969 -1.155 -2.601
-4.772 -10.793 -1.122
Ho Sc Tl
2 1 1
Direct
0.909 0.909 0.274
0.091 0.091 0.726
0.500 0.500 0.500
0.000 0.000 0.000
```

D(E_F): 4.1 states/eV/cell
Formation enthalpy at 0 K: 0.0868 eV/atom
Space-group type: R-3m
Crystal system: trigonal
ρ: 7.9 g/cm³
Energy above the lowest structure with this stoichiometry: 253 meV/atom

VASP calculation (GGA-PBE) on a relaxed Sm6Hg2Bi crystal.

Cell and atoms, written as POSCAR:
```
Sm6Hg2Bi
1.0
9.076 -0.342 -0.534
-3.756 8.270 0.534
-3.311 -3.527 7.706
Sm Bi Hg
12 2 4
Direct
0.801 0.228 0.030
0.099 0.293 0.806
0.293 0.617 0.324
0.293 0.969 0.676
0.801 0.772 0.573
0.199 0.228 0.427
0.199 0.772 0.970
0.512 0.707 0.806
0.707 0.031 0.324
0.901 0.707 0.194
0.488 0.293 0.194
0.707 0.383 0.676
0.000 0.500 0.500
0.000 0.000 0.000
0.349 0.000 0.349
0.500 0.372 0.872
0.500 0.628 0.128
0.651 0.000 0.651
```

D(E_F): 23.1 states/eV/cell
Formation enthalpy at 0 K: -0.3283 eV/atom
Space-group type: Immm
Crystal system: orthorhombic
ρ: 8.9 g/cm³